[1]
First-principles (PBE) data for ErAg2Pd after structural relaxation, as listed in the Alexandria database.

ΔH_f (0 K) = -0.38 eV per atom
symmetry = P4/mmm (123)
E = -4.25 eV/atom

Cell lengths 4.047, 4.047, 4.757 Å; angles 90.00, 90.00, 90.00 degrees
Atoms (fractional coordinates):
Er 0.000 0.000 0.000
Ag 0.000 0.500 0.500
Ag 0.500 0.000 0.500
Pd 0.500 0.500 0.000

---

[2]
First-principles (PBE) data for Tb5Pm3Dy2 after structural relaxation, as listed in the Alexandria database.

ΔH_f (0 K) = 0.19 eV per atom
symmetry = C2/c (15)
E = -4.47 eV/atom

Cell lengths 9.587, 9.587, 9.480 Å; angles 108.41, 108.41, 111.85 degrees
Atoms (fractional coordinates):
Tb 0.025 0.975 0.750
Tb 0.150 0.381 0.779
Tb 0.273 0.727 0.250
Tb 0.381 0.150 0.279
Tb 0.470 0.530 0.250
Tb 0.530 0.470 0.750
Tb 0.619 0.850 0.721
Tb 0.727 0.273 0.750
Tb 0.850 0.619 0.221
Tb 0.975 0.025 0.250
Pm 0.017 0.267 0.047
Pm 0.233 0.767 0.750
Pm 0.267 0.017 0.547
Pm 0.733 0.983 0.453
Pm 0.767 0.233 0.250
Pm 0.983 0.733 0.953
Dy 0.226 0.464 0.454
Dy 0.464 0.226 0.954
Dy 0.536 0.774 0.046
Dy 0.774 0.536 0.546

---

[3]
First-principles (PBE) data for Ba2PrPaP4 after structural relaxation, as listed in the Alexandria database.

ΔH_f (0 K) = -1.22 eV per atom
symmetry = P2/m (10)
E = -6.19 eV/atom

Cell lengths 7.406, 4.303, 7.738 Å; angles 90.00, 108.67, 90.00 degrees
Atoms (fractional coordinates):
Ba 0.000 0.000 0.000
Ba 0.500 0.500 0.000
Pr 0.000 0.500 0.500
Pa 0.500 0.000 0.500
P 0.256 0.000 0.708
P 0.282 0.500 0.299
P 0.718 0.500 0.701
P 0.744 0.000 0.292

---

[4]
First-principles (PBE) data for ScHN2 after structural relaxation, as listed in the Alexandria database.

symmetry = Fm-3m (225)
E = -5.96 eV/atom

Cell lengths 3.681, 3.681, 3.681 Å; angles 60.00, 60.00, 60.00 degrees
Atoms (fractional coordinates):
Sc 0.000 0.000 0.000
H 0.500 0.500 0.500
N 0.250 0.250 0.250
N 0.750 0.750 0.750

---

[5]
First-principles (PBE) data for PmPuCuBi after structural relaxation, as listed in the Alexandria database.

ΔH_f (0 K) = -0.21 eV per atom
symmetry = F-43m (216)
E = -6.98 eV/atom

Cell lengths 5.319, 5.319, 5.319 Å; angles 60.00, 60.00, 60.00 degrees
Atoms (fractional coordinates):
Pm 0.000 0.000 0.000
Pu 0.500 0.500 0.500
Cu 0.750 0.750 0.750
Bi 0.250 0.250 0.250

---

[6]
First-principles (PBE) data for La4Pr5Ho after structural relaxation, as listed in the Alexandria database.

ΔH_f (0 K) = 0.15 eV per atom
symmetry = C2/m (12)
E = -4.67 eV/atom

Cell lengths 6.645, 6.645, 10.772 Å; angles 90.27, 90.27, 50.79 degrees
Atoms (fractional coordinates):
La 0.047 0.047 0.254
La 0.321 0.321 0.251
La 0.679 0.679 0.749
La 0.953 0.953 0.746
Pr 0.195 0.195 0.937
Pr 0.197 0.197 0.565
Pr 0.500 0.500 0.000
Pr 0.803 0.803 0.435
Pr 0.805 0.805 0.063
Ho 0.500 0.500 0.500

---

[7]
First-principles (PBE) data for La12TbDy6 after structural relaxation, as listed in the Alexandria database.

ΔH_f (0 K) = 0.22 eV per atom
symmetry = R-3 (148)
E = -4.59 eV/atom

Cell lengths 9.333, 9.333, 9.333 Å; angles 106.80, 106.80, 106.80 degrees
Atoms (fractional coordinates):
La 0.118 0.286 0.817
La 0.183 0.882 0.714
La 0.194 0.488 0.584
La 0.286 0.817 0.118
La 0.416 0.806 0.512
La 0.488 0.584 0.194
La 0.512 0.416 0.806
La 0.584 0.194 0.488
La 0.714 0.183 0.882
La 0.806 0.512 0.416
La 0.817 0.118 0.286
La 0.882 0.714 0.183
Tb 0.000 0.000 0.000
Dy 0.088 0.441 0.193
Dy 0.193 0.088 0.441
Dy 0.441 0.193 0.088
Dy 0.559 0.807 0.912
Dy 0.807 0.912 0.559
Dy 0.912 0.559 0.807

---

[8]
First-principles (PBE) data for H2Pb2F after structural relaxation, as listed in the Alexandria database.

symmetry = P4/mbm (127)
E = -3.53 eV/atom

Cell lengths 7.056, 7.056, 3.796 Å; angles 90.00, 90.00, 90.00 degrees
Atoms (fractional coordinates):
H 0.213 0.287 0.000
H 0.287 0.787 0.000
H 0.713 0.213 0.000
H 0.787 0.713 0.000
Pb 0.183 0.683 0.500
Pb 0.317 0.183 0.500
Pb 0.683 0.817 0.500
Pb 0.817 0.317 0.500
F 0.000 0.000 0.500
F 0.500 0.500 0.500

---

[9]
First-principles (PBE) data for AgI after structural relaxation, as listed in the Alexandria database.

symmetry = Fddd (70)
E = -2.40 eV/atom

Cell lengths 8.108, 8.100, 6.489 Å; angles 66.47, 66.34, 47.20 degrees
Atoms (fractional coordinates):
Ag 0.013 0.013 0.237
Ag 0.237 0.237 0.013
Ag 0.763 0.763 0.987
Ag 0.987 0.987 0.763
I 0.143 0.607 0.607
I 0.393 0.857 0.857
I 0.607 0.143 0.143
I 0.857 0.393 0.393

---

[10]
First-principles (PBE) data for TlSbSe2 after structural relaxation, as listed in the Alexandria database.

symmetry = P4/mmm (123)
E = -3.45 eV/atom

Cell lengths 3.679, 3.679, 7.799 Å; angles 90.00, 90.00, 90.00 degrees
Atoms (fractional coordinates):
Tl 0.000 0.000 0.000
Sb 0.000 0.000 0.500
Se 0.500 0.500 0.287
Se 0.500 0.500 0.713

---

[11]
First-principles (PBE) data for HoReW after structural relaxation, as listed in the Alexandria database.

ΔH_f (0 K) = -0.10 eV per atom
symmetry = Imma (74)
E = -10.10 eV/atom

Cell lengths 5.461, 5.461, 5.461 Å; angles 120.09, 119.48, 90.38 degrees
Atoms (fractional coordinates):
Ho 0.373 0.123 0.250
Ho 0.627 0.877 0.750
Re 0.000 0.000 0.500
Re 0.000 0.500 0.000
W 0.000 0.500 0.500
W 0.500 0.500 0.000

---

[12]
First-principles (PBE) data for Pr4H2CO after structural relaxation, as listed in the Alexandria database.

symmetry = P2/m (10)
E = -5.92 eV/atom

Cell lengths 6.376, 3.732, 6.435 Å; angles 90.00, 109.60, 90.00 degrees
Atoms (fractional coordinates):
Pr 0.242 0.000 0.229
Pr 0.254 0.500 0.765
Pr 0.746 0.500 0.235
Pr 0.758 0.000 0.771
H 0.000 0.000 0.500
H 0.500 0.500 0.500
C 0.500 0.000 0.000
O 0.000 0.500 0.000